! Pr2CoTe | Alexandria | PBE | relaxed; values from VASP
! Magnetic moment   0.00 μB/f.u.
! Formation energy without anion corrections   -228 kJ/mol of formula units
&SYSTEM
  ibrav = 0, nat = 4, ntyp = 3
/
ATOMIC_SPECIES
Te 127.60 Te.upf
Pr 140.91 Pr.upf
Co 58.93 Co.upf
CELL_PARAMETERS angstrom
-0.5483 -1.4623 3.8663
3.1805 -0.0081 2.6966
-1.0830 6.4129 4.5205
ATOMIC_POSITIONS crystal
Te 0.5000 0.5000 0.5000
Pr 0.2634 0.2634 0.2097
Pr 0.7366 0.7366 0.7903
Co 0.0000 0.0000 0.0000


! BaCo2 | Alexandria | PBE | relaxed; values from VASP
! ΔH_f (0 K)   442 meV per atom
! Magnetic moment   3.06 μB/f.u.
&SYSTEM
  ibrav = 0, nat = 6, ntyp = 2
/
ATOMIC_SPECIES
Co 58.93 Co.upf
Ba 137.33 Ba.upf
CELL_PARAMETERS angstrom
1.4825 -4.7745 4.0413
3.9629 -4.9947 0.8211
5.0342 1.4655 3.7774
ATOMIC_POSITIONS crystal
Co 0.9116 0.9116 0.6416
Co 0.5195 0.5195 0.3149
Co 0.0884 0.0884 0.3584
Co 0.4805 0.4805 0.6851
Ba 0.1704 0.1704 0.8089
Ba 0.8296 0.8296 0.1911


! PuTlBiPb | Alexandria | PBE | relaxed; values from VASP
! Energy above the lowest structure with this stoichiometry   101 meV per atom
! ΔH_f (0 K)   -24 meV per atom
! Magnetic moment   5.90 μB/f.u.
&SYSTEM
  ibrav = 0, nat = 4, ntyp = 4
/
ATOMIC_SPECIES
Pu 244.00 Pu.upf
Tl 204.38 Tl.upf
Pb 207.20 Pb.upf
Bi 208.98 Bi.upf
CELL_PARAMETERS angstrom
5.5690 0.0000 0.0000
2.7845 4.8229 0.0000
2.7845 1.6076 4.5471
ATOMIC_POSITIONS crystal
Pu 0.2500 0.2500 0.2500
Tl 0.5000 0.5000 0.5000
Pb 0.7500 0.7500 0.7500
Bi 0.0000 0.0000 0.0000


! Ca4Pa3AgP8 | Alexandria | PBE | relaxed; values from VASP
! ΔH_f (0 K)   -1035 meV per atom
! Magnetic moment   0.00 μB/f.u.
&SYSTEM
  ibrav = 0, nat = 16, ntyp = 4
/
ATOMIC_SPECIES
Pa 231.04 Pa.upf
Ca 40.08 Ca.upf
P 30.97 P.upf
Ag 107.87 Ag.upf
CELL_PARAMETERS angstrom
-6.3377 2.3381 4.5343
3.9628 -2.2519 6.7000
3.4248 5.2291 -5.2085
ATOMIC_POSITIONS crystal
Pa 0.5000 0.5000 0.0000
Pa 0.5000 0.5000 0.5000
Pa 0.0000 0.5000 0.5000
Ca 0.0000 0.0000 0.5000
Ca 0.5000 0.0000 0.5000
Ca 0.0000 0.0000 0.0000
Ca 0.5000 0.0000 0.0000
P 0.7516 0.2742 0.0226
P 0.2484 0.7258 0.9774
P 0.7290 0.7258 0.9774
P 0.2484 0.7259 0.4969
P 0.2557 0.2669 0.5113
P 0.7516 0.2741 0.5031
P 0.7443 0.7331 0.4887
P 0.2710 0.2742 0.0226
Ag 0.0000 0.5000 0.0000


! Rb2CaSn2S4 | Alexandria | PBE | relaxed; values from VASP
! Magnetic moment   0.00 μB/f.u.
! Formation energy without anion corrections   -939 kJ/mol of formula units
&SYSTEM
  ibrav = 0, nat = 9, ntyp = 4
/
ATOMIC_SPECIES
Sn 118.71 Sn.upf
S 32.06 S.upf
Rb 85.47 Rb.upf
Ca 40.08 Ca.upf
CELL_PARAMETERS angstrom
4.1028 0.0000 0.0000
-2.0514 8.8348 -0.4394
0.0000 -3.5649 7.7195
ATOMIC_POSITIONS crystal
Sn 0.3118 0.6236 0.9516
Sn 0.6882 0.3764 0.0484
S 0.4630 0.9260 0.1993
S 0.8227 0.6455 0.7639
S 0.5370 0.0740 0.8007
S 0.1773 0.3545 0.2361
Rb 0.8840 0.7680 0.4581
Rb 0.1160 0.2320 0.5419
Ca 0.0000 0.0000 0.0000


! KReSCl2 | Alexandria | PBE | relaxed; values from VASP
! Energy above the lowest structure with this stoichiometry   0 meV per atom
! Magnetic moment   0.64 μB/f.u.
! Formation energy without anion corrections   -269 kJ/mol of formula units
&SYSTEM
  ibrav = 0, nat = 5, ntyp = 4
/
ATOMIC_SPECIES
Cl 35.45 Cl.upf
Re 186.21 Re.upf
K 39.10 K.upf
S 32.06 S.upf
CELL_PARAMETERS angstrom
5.1063 0.0000 0.0000
0.0000 5.1063 0.0000
0.0000 0.0000 4.4912
ATOMIC_POSITIONS crystal
Cl 0.5000 0.0000 0.0000
Cl 0.0000 0.5000 0.0000
Re 0.0000 0.0000 0.0000
K 0.5000 0.5000 0.5000
S 0.0000 0.0000 0.5000


! VAsPd | Alexandria | PBE | relaxed; values from VASP
! ΔH_f (0 K)   -127 meV per atom
! Magnetic moment   0.00 μB/f.u.
&SYSTEM
  ibrav = 0, nat = 3, ntyp = 3
/
ATOMIC_SPECIES
V 50.94 V.upf
As 74.92 As.upf
Pd 106.42 Pd.upf
CELL_PARAMETERS angstrom
3.1065 0.0000 0.0000
0.0000 3.1065 0.0000
-1.5532 -1.5532 4.7590
ATOMIC_POSITIONS crystal
V 0.3147 0.3147 0.6294
As 0.6881 0.6881 0.3763
Pd 0.9972 0.9972 0.9944


! Nb3Tl2Cl10 | Alexandria | PBE | relaxed; values from VASP
! Magnetic moment   3.67 μB/f.u.
! Formation energy without anion corrections   -1495 kJ/mol of formula units
&SYSTEM
  ibrav = 0, nat = 30, ntyp = 3
/
ATOMIC_SPECIES
Cl 35.45 Cl.upf
Nb 92.91 Nb.upf
Tl 204.38 Tl.upf
CELL_PARAMETERS angstrom
6.7261 0.0000 -2.1891
-1.1874 9.2508 -3.6485
0.3493 0.1679 12.5009
ATOMIC_POSITIONS crystal
Cl 0.0000 0.0000 0.5000
Cl 0.2363 0.2884 0.4725
Cl 0.4868 0.8317 0.9736
Cl 0.8632 0.0561 0.2208
Cl 0.1069 0.5311 0.7345
Cl 0.3576 0.0561 0.2208
Cl 0.6424 0.9439 0.7792
Cl 0.8931 0.4689 0.2655
Cl 0.9872 0.7913 0.9745
Cl 0.6276 0.5311 0.7345
Cl 0.2793 0.5000 0.0000
Cl 0.5132 0.1683 0.0264
Cl 0.7207 0.5000 0.0000
Cl 0.7637 0.7116 0.5275
Cl 0.1368 0.9439 0.7792
Cl 0.0128 0.2087 0.0255
Cl 0.8773 0.2470 0.7546
Cl 0.3724 0.4689 0.2655
Cl 0.5000 0.0000 0.5000
Cl 0.1227 0.7530 0.2454
Nb 0.2079 0.0000 0.0000
Nb 0.0570 0.4874 0.1139
Nb 0.1778 0.0278 0.3556
Nb 0.7921 0.0000 0.0000
Nb 0.8222 0.9722 0.6444
Nb 0.9430 0.5126 0.8861
Tl 0.7552 0.3716 0.5103
Tl 0.6328 0.7150 0.2656
Tl 0.3672 0.2850 0.7344
Tl 0.2448 0.6284 0.4897


! PrAl4Ir2Rh | Alexandria | PBE | relaxed; values from VASP
! ΔH_f (0 K)   -870 meV per atom
! Magnetic moment   0.00 μB/f.u.
&SYSTEM
  ibrav = 0, nat = 8, ntyp = 4
/
ATOMIC_SPECIES
Al 26.98 Al.upf
Rh 102.91 Rh.upf
Ir 192.22 Ir.upf
Pr 140.91 Pr.upf
CELL_PARAMETERS angstrom
-1.7033 -3.1772 -2.2158
-1.2925 -3.5078 1.9827
-9.1159 1.3718 1.0000
ATOMIC_POSITIONS crystal
Al 0.1332 0.1332 0.6003
Al 0.5931 0.5931 0.2206
Al 0.4069 0.4069 0.7794
Al 0.8668 0.8668 0.3997
Rh 0.5000 0.5000 0.5000
Ir 0.2329 0.2329 0.3013
Ir 0.7671 0.7671 0.6987
Pr 0.0000 0.0000 0.0000


! Sc2SiIr | Alexandria | PBE | relaxed; values from VASP
! Magnetic moment   0.00 μB/f.u.
! Formation energy without anion corrections   -305 kJ/mol of formula units
&SYSTEM
  ibrav = 0, nat = 4, ntyp = 3
/
ATOMIC_SPECIES
Sc 44.96 Sc.upf
Ir 192.22 Ir.upf
Si 28.09 Si.upf
CELL_PARAMETERS angstrom
3.6874 0.0000 0.0000
0.0000 3.1014 -0.0002
0.0000 3.1068 5.9898
ATOMIC_POSITIONS crystal
Sc 0.0000 0.0010 0.9989
Sc 0.0000 0.4990 0.5011
Ir 0.5000 0.7500 0.7500
Si 0.5000 0.2500 0.2500


! Sr2AlCo2 | Alexandria | PBE | relaxed; values from VASP
! ΔH_f (0 K)   217 meV per atom
! Magnetic moment   0.00 μB/f.u.
&SYSTEM
  ibrav = 0, nat = 10, ntyp = 3
/
ATOMIC_SPECIES
Sr 87.62 Sr.upf
Al 26.98 Al.upf
Co 58.93 Co.upf
CELL_PARAMETERS angstrom
-2.1483 5.8704 2.4356
-5.2459 -3.0892 2.8189
2.5679 -0.7170 3.9931
ATOMIC_POSITIONS crystal
Sr 0.6804 0.8196 0.5000
Sr 0.3196 0.1804 0.5000
Sr 0.8196 0.3196 0.5000
Sr 0.1804 0.6804 0.5000
Al 0.0000 0.0000 0.0000
Al 0.5000 0.5000 0.0000
Co 0.8802 0.6198 0.0000
Co 0.6198 0.1198 0.0000
Co 0.1198 0.3802 0.0000
Co 0.3802 0.8802 0.0000


! Li2CdPbF8 | Alexandria | PBE | relaxed; values from VASP
! Magnetic moment   0.00 μB/f.u.
! Formation energy without anion corrections   -2693 kJ/mol of formula units
&SYSTEM
  ibrav = 0, nat = 12, ntyp = 4
/
ATOMIC_SPECIES
F 19.00 F.upf
Pb 207.20 Pb.upf
Li 6.94 Li.upf
Cd 112.41 Cd.upf
CELL_PARAMETERS angstrom
4.8052 0.0417 0.0000
0.0935 4.8291 -0.0020
0.0089 0.0119 7.0717
ATOMIC_POSITIONS crystal
F 0.6998 0.7034 0.0007
F 0.2063 0.7916 0.7696
F 0.7937 0.2084 0.2304
F 0.6884 0.6909 0.5001
F 0.3116 0.3091 0.4999
F 0.2063 0.7916 0.2305
F 0.3002 0.2966 0.9993
F 0.7937 0.2084 0.7695
Pb 0.0000 0.0000 0.0000
Li 0.4993 0.4993 0.7078
Li 0.5007 0.5007 0.2922
Cd 0.0000 0.0000 0.5000


! LiTiAlGe2 | Alexandria | PBE | relaxed; values from VASP
! ΔH_f (0 K)   498 meV per atom
! Magnetic moment   0.01 μB/f.u.
&SYSTEM
  ibrav = 0, nat = 5, ntyp = 4
/
ATOMIC_SPECIES
Ge 72.64 Ge.upf
Li 6.94 Li.upf
Ti 47.87 Ti.upf
Al 26.98 Al.upf
CELL_PARAMETERS angstrom
-1.6870 -1.3286 3.8934
-2.6590 -2.8283 -2.1173
3.1265 -3.1491 0.2801
ATOMIC_POSITIONS crystal
Ge 0.5000 0.0000 0.0000
Ge 0.0000 0.0000 0.5000
Li 0.0000 0.0000 0.0000
Ti 0.5000 0.5000 0.5000
Al 0.0000 0.5000 0.0000


! BaV2AgOs | Alexandria | PBE | relaxed; values from VASP
! ΔH_f (0 K)   3000 meV per atom
! Magnetic moment   4.04 μB/f.u.
&SYSTEM
  ibrav = 0, nat = 5, ntyp = 4
/
ATOMIC_SPECIES
Ba 137.33 Ba.upf
Ag 107.87 Ag.upf
Os 190.23 Os.upf
V 50.94 V.upf
CELL_PARAMETERS angstrom
-4.0927 -1.8909 1.7614
0.0428 -3.5732 -3.7365
2.5839 -2.9433 2.8442
ATOMIC_POSITIONS crystal
Ba 0.0000 0.0000 0.0000
Ag 0.0000 0.5000 0.0000
Os 0.5000 0.5000 0.5000
V 0.0000 0.0000 0.5000
V 0.5000 0.0000 0.0000


! CaMg4Hg2 | Alexandria | PBE | relaxed; values from VASP
! Energy above the lowest structure with this stoichiometry   0 meV per atom
! ΔH_f (0 K)   -259 meV per atom
! Magnetic moment   0.00 μB/f.u.
&SYSTEM
  ibrav = 0, nat = 14, ntyp = 3
/
ATOMIC_SPECIES
Ca 40.08 Ca.upf
Hg 200.59 Hg.upf
Mg 24.30 Mg.upf
CELL_PARAMETERS angstrom
-4.4127 -0.6072 1.2333
0.8945 -8.4881 -0.9787
2.3935 -0.6957 8.2215
ATOMIC_POSITIONS crystal
Ca 0.5000 0.0000 0.0000
Ca 0.0000 0.5000 0.5000
Hg 0.0000 0.2114 0.7886
Hg 0.0000 0.7886 0.2114
Hg 0.5000 0.2886 0.2886
Hg 0.5000 0.7114 0.7114
Mg 0.0000 0.3446 0.0936
Mg 0.0000 0.0936 0.3446
Mg 0.5000 0.4064 0.8446
Mg 0.5000 0.1554 0.5936
Mg 0.5000 0.8446 0.4064
Mg 0.0000 0.6554 0.9064
Mg 0.5000 0.5936 0.1554
Mg 0.0000 0.9064 0.6554


! NiAu2Cl | Alexandria | PBE | relaxed; values from VASP
! Energy above the lowest structure with this stoichiometry   139 meV per atom
! Magnetic moment   0.35 μB/f.u.
! Formation energy without anion corrections   71 kJ/mol of formula units
&SYSTEM
  ibrav = 0, nat = 4, ntyp = 3
/
ATOMIC_SPECIES
Ni 58.69 Ni.upf
Au 196.97 Au.upf
Cl 35.45 Cl.upf
CELL_PARAMETERS angstrom
6.7915 -0.0149 0.0195
6.1753 2.8268 0.0195
1.0878 0.2359 3.6981
ATOMIC_POSITIONS crystal
Ni 0.7500 0.7500 0.7500
Au 0.0600 0.0600 0.9399
Au 0.4400 0.4400 0.5601
Cl 0.2500 0.2500 0.2500


! ZnCu4Si | Alexandria | PBE | relaxed; values from VASP
! Energy above the lowest structure with this stoichiometry   118 meV per atom
! Magnetic moment   0.00 μB/f.u.
! Formation energy without anion corrections   72 kJ/mol of formula units
&SYSTEM
  ibrav = 0, nat = 6, ntyp = 3
/
ATOMIC_SPECIES
Zn 65.41 Zn.upf
Cu 63.55 Cu.upf
Si 28.09 Si.upf
CELL_PARAMETERS angstrom
2.1791 -0.0383 4.2949
-1.9292 -2.4697 3.6573
2.1323 -4.0180 1.5828
ATOMIC_POSITIONS crystal
Zn 0.0000 0.0000 0.0000
Cu 0.1247 0.6251 0.6251
Cu 0.6251 0.6251 0.1247
Cu 0.6251 0.1247 0.6251
Cu 0.6251 0.6251 0.6251
Si 0.2500 0.2500 0.2500


! Sr7Br2Cl12 | Alexandria | PBE | relaxed; values from VASP
! Magnetic moment   0.18 μB/f.u.
! Formation energy without anion corrections   -4848 kJ/mol of formula units
&SYSTEM
  ibrav = 0, nat = 21, ntyp = 3
/
ATOMIC_SPECIES
Cl 35.45 Cl.upf
Br 79.90 Br.upf
Sr 87.62 Sr.upf
CELL_PARAMETERS angstrom
-4.2077 0.5955 -1.8553
4.5983 -1.7724 -10.9973
-4.1363 -9.3495 6.3801
ATOMIC_POSITIONS crystal
Cl 0.5000 0.7254 0.1102
Cl 0.5000 0.3848 0.2746
Cl 0.5000 0.8898 0.6152
Cl 0.0000 0.2673 0.0321
Cl 0.0000 0.4965 0.9456
Cl 0.0000 0.9679 0.2352
Cl 0.0000 0.4492 0.5035
Cl 0.5000 0.5508 0.7599
Cl 0.5000 0.2401 0.7908
Cl 0.0000 0.7648 0.7327
Cl 0.5000 0.2092 0.4492
Cl 0.0000 0.0544 0.5508
Br 0.0000 0.6667 0.3333
Br 0.5000 0.0000 0.0000
Sr 0.0000 0.7531 0.9689
Sr 0.0000 0.2158 0.2469
Sr 0.5000 0.9294 0.3815
Sr 0.0000 0.3333 0.6667
Sr 0.0000 0.0311 0.7842
Sr 0.5000 0.4521 0.0706
Sr 0.5000 0.6185 0.5479


! NaAg3H | Alexandria | PBE | relaxed; values from VASP
! Energy above the lowest structure with this stoichiometry   0 meV per atom
! Magnetic moment   0.00 μB/f.u.
&SYSTEM
  ibrav = 0, nat = 5, ntyp = 3
/
ATOMIC_SPECIES
Ag 107.87 Ag.upf
H 1.01 H.upf
Na 22.99 Na.upf
CELL_PARAMETERS angstrom
-1.0735 -0.1240 4.1661
4.1309 -0.6039 1.0465
0.5544 4.2596 0.2696
ATOMIC_POSITIONS crystal
Ag 0.0000 0.5000 0.0000
Ag 0.0000 0.0000 0.5000
Ag 0.5000 0.0000 0.0000
H 0.0000 0.0000 0.0000
Na 0.5000 0.5000 0.5000


! Cs2BaZnP2 | Alexandria | PBE | relaxed; values from VASP
! ΔH_f (0 K)   -449 meV per atom
! Magnetic moment   0.00 μB/f.u.
&SYSTEM
  ibrav = 0, nat = 12, ntyp = 4
/
ATOMIC_SPECIES
Cs 132.91 Cs.upf
P 30.97 P.upf
Ba 137.33 Ba.upf
Zn 65.41 Zn.upf
CELL_PARAMETERS angstrom
-4.8746 5.4885 0.8197
-1.4723 -2.2928 6.5961
8.9588 3.1033 -0.7825
ATOMIC_POSITIONS crystal
Cs 0.4746 0.1795 0.3590
Cs 0.5254 0.8205 0.6410
Cs 0.8844 0.6795 0.3590
Cs 0.1156 0.3205 0.6410
P 0.2278 0.9211 0.8423
P 0.6145 0.4211 0.8423
P 0.3855 0.5789 0.1577
P 0.7722 0.0789 0.1577
Ba 0.0000 0.2500 0.0000
Ba 0.0000 0.7500 0.0000
Zn 0.5000 0.7500 0.0000
Zn 0.5000 0.2500 0.0000


! CaPb2C2 | Alexandria | PBE | relaxed; values from VASP
! Energy above the lowest structure with this stoichiometry   0 meV per atom
! ΔH_f (0 K)   681 meV per atom
! Magnetic moment   0.00 μB/f.u.
&SYSTEM
  ibrav = 0, nat = 5, ntyp = 3
/
ATOMIC_SPECIES
Ca 40.08 Ca.upf
Pb 207.20 Pb.upf
C 12.01 C.upf
CELL_PARAMETERS angstrom
-4.9719 -0.8974 3.0773
0.0333 -5.6932 -1.6065
-0.7495 -4.0105 3.3054
ATOMIC_POSITIONS crystal
Ca 0.0000 0.0000 0.0000
Pb 0.2500 0.7500 0.5000
Pb 0.7500 0.2500 0.5000
C 0.6035 0.6035 0.7930
C 0.3965 0.3965 0.2070


! MnZnSb | Alexandria | PBE | relaxed; values from VASP
! Magnetic moment   3.10 μB/f.u.
! Formation energy without anion corrections   64 kJ/mol of formula units
&SYSTEM
  ibrav = 0, nat = 3, ntyp = 3
/
ATOMIC_SPECIES
Zn 65.41 Zn.upf
Sb 121.76 Sb.upf
Mn 54.94 Mn.upf
CELL_PARAMETERS angstrom
-4.7311 -2.1480 -0.9614
-0.9631 -5.1650 -0.5630
2.1051 3.7542 3.0654
ATOMIC_POSITIONS crystal
Zn 0.6459 0.6459 0.0000
Sb 0.3410 0.3410 0.0000
Mn 0.0131 0.0131 0.0000


! FeSiRh2 | Alexandria | PBE | relaxed; values from VASP
! Magnetic moment   2.67 μB/f.u.
! Formation energy without anion corrections   -123 kJ/mol of formula units
&SYSTEM
  ibrav = 0, nat = 4, ntyp = 3
/
ATOMIC_SPECIES
Rh 102.91 Rh.upf
Fe 55.84 Fe.upf
Si 28.09 Si.upf
CELL_PARAMETERS angstrom
-2.5997 -0.6355 -0.8623
0.9620 -2.3808 -1.1455
-1.0907 -3.1344 5.5982
ATOMIC_POSITIONS crystal
Rh 0.5000 0.5000 0.2882
Rh 0.0000 0.0000 0.9782
Fe 0.5000 0.5000 0.7239
Si 0.0000 0.0000 0.5097


! PmNd2ScSe4 | Alexandria | PBE | relaxed; values from VASP
! Magnetic moment   0.00 μB/f.u.
! Formation energy without anion corrections   -1351 kJ/mol of formula units
&SYSTEM
  ibrav = 0, nat = 8, ntyp = 4
/
ATOMIC_SPECIES
Se 78.96 Se.upf
Sc 44.96 Sc.upf
Pm 145.00 Pm.upf
Nd 144.24 Nd.upf
CELL_PARAMETERS angstrom
4.0858 0.0000 0.0000
0.0000 7.1719 0.1516
0.0000 -2.4793 6.8050
ATOMIC_POSITIONS crystal
Se 0.0000 0.7581 0.2379
Se 0.5000 0.2311 0.2293
Se 0.5000 0.7689 0.7707
Se 0.0000 0.2419 0.7621
Sc 0.0000 0.0000 0.0000
Pm 0.5000 0.5000 0.0000
Nd 0.5000 0.0000 0.5000
Nd 0.0000 0.5000 0.5000